1.
# Cs9RbNa4 PBE relaxed
data_Cs9RbNa4
_chemical_formula_sum 'Cs36 Rb4 Na16'
_cell_length_a 15.977
_cell_length_b 15.977
_cell_length_c 20.350
_cell_angle_alpha 90.00
_cell_angle_beta 90.00
_cell_angle_gamma 90.00
_symmetry_space_group_name_H-M 'I 4/m c m'
_symmetry_Int_Tables_number 140
_symmetry_space_group_name_Hall '-I 4 2c'
loop_
_atom_site_label
_atom_site_type_symbol
_atom_site_fract_x
_atom_site_fract_y
_atom_site_fract_z
Cs1 Cs 0.000 0.500 0.000
Cs2 Cs 0.060 0.196 0.000
Cs3 Cs 0.146 0.354 0.202
Rb1 Rb 0.000 0.000 0.250
Na1 Na 0.175 0.325 0.410
# - DOS(E_F) (states/eV per atom) = 0.902
# - formation energy (eV/f.u.) = 0.85
# - crystal system = tetragonal
# - theoretical density (Mg/m³) = 1.76

2.
# AcTb2Hg PBE relaxed
data_AcTb2Hg
_chemical_formula_sum 'Ac4 Tb8 Hg4'
_cell_length_a 9.531
_cell_length_b 8.313
_cell_length_c 6.712
_cell_angle_alpha 90.00
_cell_angle_beta 90.00
_cell_angle_gamma 90.00
_symmetry_space_group_name_H-M 'P n m a'
_symmetry_Int_Tables_number 62
loop_
_symmetry_equiv_pos_as_xyz
'x,y,z'
'-x,-y,-z'
'-x+1/2,-y,z+1/2'
'x+1/2,y,-z+1/2'
'x+1/2,-y+1/2,-z+1/2'
'-x+1/2,y+1/2,z+1/2'
'-x,y+1/2,-z'
'x,-y+1/2,z'
loop_
_atom_site_label
_atom_site_type_symbol
_atom_site_fract_x
_atom_site_fract_y
_atom_site_fract_z
Ac1 Ac 0.027 0.250 0.097
Tb1 Tb 0.178 0.043 0.601
Hg1 Hg 0.106 0.750 0.362
# - DOS(E_F) (states/eV per atom) = 1.021
# - formation energy (eV/f.u.) = -0.76
# - crystal system = orthorhombic
# - theoretical density (Mg/m³) = 9.31
# - energy above the lowest structure with this stoichiometry (meV/atom) = 16.4

Q: Which formula does entry 2 have?
A: AcTb2Hg

Q: DOS(E_F) of number 2 (AcTb2Hg)?
A: 1.021 states/eV per atom

Repeat the second record exactly.
# AcTb2Hg PBE relaxed
data_AcTb2Hg
_chemical_formula_sum 'Ac4 Tb8 Hg4'
_cell_length_a 9.531
_cell_length_b 8.313
_cell_length_c 6.712
_cell_angle_alpha 90.00
_cell_angle_beta 90.00
_cell_angle_gamma 90.00
_symmetry_space_group_name_H-M 'P n m a'
_symmetry_Int_Tables_number 62
loop_
_symmetry_equiv_pos_as_xyz
'x,y,z'
'-x,-y,-z'
'-x+1/2,-y,z+1/2'
'x+1/2,y,-z+1/2'
'x+1/2,-y+1/2,-z+1/2'
'-x+1/2,y+1/2,z+1/2'
'-x,y+1/2,-z'
'x,-y+1/2,z'
loop_
_atom_site_label
_atom_site_type_symbol
_atom_site_fract_x
_atom_site_fract_y
_atom_site_fract_z
Ac1 Ac 0.027 0.250 0.097
Tb1 Tb 0.178 0.043 0.601
Hg1 Hg 0.106 0.750 0.362
# - DOS(E_F) (states/eV per atom) = 1.021
# - formation energy (eV/f.u.) = -0.76
# - crystal system = orthorhombic
# - theoretical density (Mg/m³) = 9.31
# - energy above the lowest structure with this stoichiometry (meV/atom) = 16.4